[1]
# ScSi2Cl

A crystal of ScSi2Cl relaxed with PBEsol (meta-GGA SCAN, Alexandria).

Values from the calculation:
Its total magnetization is 0.00 Bohr magnetons per cell.

Cell lengths 2.978, 3.287, 7.707 Å; angles 90.00, 90.00, 90.00 degrees
Space group Pmm2 (No. 25)
Unique sites:
1 Sc 0.000 0.000 0.000 [1 per cell]
2 Si 0.000 0.000 0.399 [1 per cell]
3 Si 0.500 0.500 0.238 [1 per cell]
4 Cl 0.500 0.500 0.802 [1 per cell]


[2]
# Sc2SiCl

A crystal of Sc2SiCl relaxed with PBEsol (meta-GGA SCAN, Alexandria).

Values from the calculation:
Its total magnetization is 0.00 Bohr magnetons per cell.

Cell lengths 3.754, 3.754, 5.256 Å; angles 90.00, 90.00, 90.00 degrees
Space group P4/mmm (No. 123)
Unique sites:
1 Sc 0.000 0.000 0.000 [1 per cell]
2 Sc 0.500 0.500 0.500 [1 per cell]
3 Si 0.000 0.000 0.500 [1 per cell]
4 Cl 0.500 0.500 0.000 [1 per cell]


[3]
# ScSi2Cl

A crystal of ScSi2Cl relaxed with PBEsol (meta-GGA SCAN, Alexandria).

Values from the calculation:
Its total magnetization is 0.00 Bohr magnetons per cell.

Cell lengths 3.142, 3.953, 11.357 Å; angles 90.00, 90.00, 90.00 degrees
Space group Immm (No. 71)
Unique sites:
1 Sc 0.000 0.000 0.000 [2 per cell]
2 Si 0.000 0.500 0.280 [4 per cell]
3 Cl 0.000 0.000 0.500 [2 per cell]


[4]
# ScSi2Cl

A crystal of ScSi2Cl relaxed with PBEsol (meta-GGA SCAN, Alexandria).

Values from the calculation:
Its total magnetization is 0.00 Bohr magnetons per cell.

Cell lengths 8.076, 3.660, 5.923 Å; angles 90.00, 120.86, 90.00 degrees
Space group Cm (No. 8)
Unique sites:
1 Sc 0.000 0.000 0.000 [2 per cell]
2 Si 0.079 0.500 0.432 [2 per cell]
3 Si 0.306 0.000 0.571 [2 per cell]
4 Cl 0.233 0.500 0.064 [2 per cell]


[5]
# Sc2SiCl

A crystal of Sc2SiCl relaxed with PBEsol (meta-GGA SCAN, Alexandria).

Values from the calculation:
Its total magnetization is 0.00 Bohr magnetons per cell.

Cell lengths 3.162, 3.162, 7.984 Å; angles 90.00, 90.00, 90.00 degrees
Space group P4mm (No. 99)
Unique sites:
1 Sc 0.000 0.000 0.000 [1 per cell]
2 Sc 0.500 0.500 0.339 [1 per cell]
3 Si 0.000 0.000 0.546 [1 per cell]
4 Cl 0.500 0.500 0.850 [1 per cell]


[6]
# ScSiCl2

A crystal of ScSiCl2 relaxed with PBEsol (meta-GGA SCAN, Alexandria).

Values from the calculation:
Its total magnetization is 0.00 Bohr magnetons per cell.

Cell lengths 4.218, 4.218, 8.337 Å; angles 90.00, 90.00, 90.00 degrees
Space group I4/mmm (No. 139)
Unique sites:
1 Sc 0.000 0.000 0.000 [2 per cell]
2 Si 0.000 0.000 0.500 [2 per cell]
3 Cl 0.000 0.500 0.250 [4 per cell]


| no. | offset from the most stable computed form (eV/f.u.) | formation energy (no corrections) (kJ/mol of atoms) |
| --- | --- | --- |
| 1 | 0.22 | -47.1 |
| 2 | 0.00 | -105.9 |
| 3 | 0.60 | -38.0 |
| 4 | 0.00 | -52.5 |
| 5 | 2.23 | -52.1 |
| 6 | 0.00 | -44.6 |